Compound: BeCrPbO4
Source: Alexandria via LeMat-Bulk
Functional: PBE with a Hubbard U
Structure: relaxed

Cell: 4.9387 5.1667 6.7842 Å, 90.00 108.09 90.00°
Atoms (fractional coordinates):
Be 0.2464 0.2500 0.1581
Be 0.7536 0.7500 0.8419
Cr 0.3027 0.7500 0.9575
Cr 0.6973 0.2500 0.0425
Pb 0.2080 0.7500 0.4168
Pb 0.7920 0.2500 0.5832
O 0.0023 0.2500 0.9380
O 0.0502 0.2500 0.3133
O 0.4793 0.0138 0.1747
O 0.4793 0.4862 0.1747
O 0.5207 0.5138 0.8253
O 0.5207 0.9862 0.8253
O 0.9498 0.7500 0.6867
O 0.9977 0.7500 0.0620

Results
Symmetry ... P2_1/m
Energy ... -0.4827 Ry per atom
Size of the total moment ... 0.2857 μB per atom